Density functional theory data (PBE-GGA) for an optimized crystal structure of CdSbAu4.

Cell and atoms, written as POSCAR:
```
CdSbAu4
1.0
4.794 -2.267 -1.826
3.813 -1.838 3.680
0.902 -5.504 0.590
Au Cd Sb
4 1 1
direct
0.375 0.874 0.375 Au
0.375 0.375 0.375 Au
0.874 0.375 0.375 Au
0.375 0.375 0.874 Au
0.750 0.750 0.750 Cd
0.000 0.000 0.000 Sb
```

ΔE_f (raw)   0.14 eV per formula unit
Density   13.61 Mg/m³
Energy   -18.0 eV for the cell shown